1.
Co4Ni3Pt | GGA-PBE | optimized geometry

a b c (Å): 2.5815 4.3684 13.7692
angles (deg): 142.43 95.38 90.00
Closest atoms and distances in Å follow each position.
Element x y z (fractional)
Co: 0.3714 0.7016 0.7428  6 Co 2.49-2.58, 5 Ni 2.49-2.58, 1 Pt 2.61
Co: 0.6286 0.2984 0.2572  6 Co 2.49-2.58, 5 Ni 2.49-2.58, 1 Pt 2.61
Co: 0.8707 0.1854 0.7413  4 Ni 2.49-2.59, 6 Co 2.49-2.58, 2 Pt 2.61
Co: 0.1293 0.8146 0.2587  4 Ni 2.49-2.59, 6 Co 2.49-2.58, 2 Pt 2.61
Ni: 0.0000 0.5000 0.0000  4 Pt 2.54, 2 Ni 2.58, 6 Co 2.58-2.59
Ni: 0.2506 0.7546 0.5013  6 Co 2.49-2.50, 6 Ni 2.53-2.58
Ni: 0.7494 0.2454 0.4987  6 Co 2.49-2.50, 6 Ni 2.53-2.58
Pt: 0.5000 0.0000 0.0000  4 Ni 2.54, 2 Pt 2.58, 6 Co 2.61

ρ = 10.772 Mg/m³
Relative energy among the computed polymorphs = 39 meV/atom
Formation energy = 0.9 kJ/mol of atoms

***

2.
Ac5LaTbPm2 | GGA-PBE | optimized geometry

a b c (Å): 9.9550 9.9550 10.3498
angles (deg): 118.75 118.75 90.00
Closest atoms and distances in Å follow each position.
Element x y z (fractional)
Ac: 0.3352 0.8352 0.2633  1 Pm 3.36, 1 Tb 3.38
Ac: 0.0719 0.5719 0.7367  1 Pm 3.36, 1 Tb 3.38
Ac: 0.5719 0.6648 0.7367  1 Pm 3.36, 1 Tb 3.38
Ac: 0.6648 0.1648 0.7367  1 Pm 3.36, 1 Tb 3.38
Ac: 0.0000 0.0000 0.0000  2 La 3.79, 4 Pm 4.07, 8 Ac 4.10
Ac: 0.4281 0.3352 0.2633  1 Pm 3.36, 1 Tb 3.38
Ac: 0.9281 0.4281 0.2633  1 Pm 3.36, 1 Tb 3.38
Ac: 0.8352 0.9281 0.2633  1 Pm 3.36, 1 Tb 3.38
Ac: 0.1648 0.0719 0.7367  1 Pm 3.36, 1 Tb 3.38
Ac: 0.5000 0.5000 0.0000  2 La 3.79, 4 Pm 4.07, 8 Ac 4.10
Pm: 0.3958 0.8958 0.0000  1 Pm 2.93
Pm: 0.8958 0.6042 0.0000  1 Pm 2.93
Pm: 0.6042 0.1042 0.0000  1 Pm 2.93
Pm: 0.1042 0.3958 0.0000  1 Pm 2.93
La: 0.2500 0.2500 0.5000  10 Ac 3.79-4.01
La: 0.7500 0.7500 0.5000  10 Ac 3.79-4.01
Tb: 0.7500 0.2500 0.5000  4 Ac 3.38
Tb: 0.2500 0.7500 0.5000  4 Ac 3.38

ρ = 7.609 Mg/m³
Formation energy = 28.5 kJ/mol of atoms

***

3.
Y2Mn2Au | GGA-PBE | optimized geometry

a b c (Å): 6.7900 6.7900 4.2706
angles (deg): 90.00 90.00 90.00
Closest atoms and distances in Å follow each position.
Element x y z (fractional)
Mn: 0.8934 0.6066 0.0000  1 Mn 2.05
Mn: 0.3934 0.8934 0.0000  1 Mn 2.05
Mn: 0.1066 0.3934 0.0000  1 Mn 2.05
Mn: 0.6066 0.1066 0.0000  1 Mn 2.05
Y: 0.8162 0.3162 0.5000  6 Mn 2.93-2.95, 4 Au 3.28
Y: 0.3162 0.1838 0.5000  6 Mn 2.93-2.95, 4 Au 3.28
Y: 0.1838 0.6838 0.5000  6 Mn 2.93-2.95, 4 Au 3.28
Y: 0.6838 0.8162 0.5000  6 Mn 2.93-2.95, 4 Au 3.28
Au: 0.0000 0.0000 0.0000  4 Mn 2.77
Au: 0.5000 0.5000 0.0000  4 Mn 2.77

ρ = 8.175 Mg/m³
Formation energy = -8.6 kJ/mol of atoms

***

4.
KMgCd2F8 | GGA-PBE | optimized geometry

a b c (Å): 5.0063 4.9625 7.4097
angles (deg): 89.99 90.00 88.32
Closest atoms and distances in Å follow each position.
Element x y z (fractional)
F: 0.8415 0.2246 0.7990  1 Mg 2.01, 1 Cd 2.17
F: 0.1586 0.7756 0.7990  1 Mg 2.01, 1 Cd 2.17
F: 0.8414 0.2244 0.2010  1 Mg 2.01, 1 Cd 2.17
F: 0.1585 0.7754 0.2010  1 Mg 2.01, 1 Cd 2.17
F: 0.3161 0.2588 0.0000  1 Mg 2.07, 2 Cd 2.29
F: 0.4460 0.2635 0.5000  2 Cd 2.34, 1 F 2.42, 1 K 2.62
F: 0.5540 0.7365 0.5000  2 Cd 2.34, 1 F 2.42, 1 K 2.62
F: 0.6839 0.7412 0.0000  1 Mg 2.07, 2 Cd 2.29
Mg: 0.0000 0.0000 0.0000  6 F 2.01-2.07
Cd: 0.5000 0.5000 0.2298  6 F 2.17-2.34
Cd: 0.5000 0.5000 0.7702  6 F 2.17-2.34
K: 0.0000 0.0000 0.5000  6 F 2.59-2.62

ρ = 3.973 Mg/m³
Calculated total energy = -4.0245 eV per atom

***

5.
CrFeAs2 | GGA-PBE | optimized geometry

a b c (Å): 4.3442 4.3442 4.3442
angles (deg): 60.00 60.00 60.00
Closest atoms and distances in Å follow each position.
Element x y z (fractional)
As: 0.7500 0.7500 0.7500  4 Cr 2.66, 4 As 2.66
As: 0.0000 0.0000 0.0000  4 Fe 2.66, 4 As 2.66
Fe: 0.2500 0.2500 0.2500  4 Cr 2.66, 4 As 2.66
Cr: 0.5000 0.5000 0.5000  4 As 2.66, 4 Fe 2.66

ρ = 7.381 Mg/m³
Relative energy among the computed polymorphs = 658 meV/atom
Formation energy = 43.8 kJ/mol of atoms

***

6.
PrPd6Au6 | GGA-PBE | optimized geometry

a b c (Å): 5.4870 7.1276 7.1276
angles (deg): 81.16 67.36 67.36
Closest atoms and distances in Å follow each position.
Element x y z (fractional)
Pd: 0.5000 0.2296 0.7704  4 Pd 2.71, 6 Au 2.83-2.93
Pd: 0.0000 0.5000 0.0000  4 Pd 2.71-2.74, 6 Au 2.74-2.84
Pd: 0.5000 0.5000 0.0000  4 Pd 2.71-2.74, 6 Au 2.74-2.84
Pd: 0.5000 0.7704 0.2296  4 Pd 2.71, 6 Au 2.83-2.93
Pd: 0.5000 0.0000 0.5000  4 Pd 2.71-2.74, 6 Au 2.74-2.84
Pd: 0.0000 0.0000 0.5000  4 Pd 2.71-2.74, 6 Au 2.74-2.84
Pr: 0.0000 0.0000 0.0000  8 Au 3.15-3.31, 4 Pd 3.47
Au: 0.6992 0.8008 0.8008  6 Pd 2.74-2.83
Au: 0.3008 0.1992 0.1992  6 Pd 2.74-2.83
Au: 0.0000 0.3396 0.6604  6 Pd 2.83-2.93, 1 Au 2.98, 1 Pr 3.15
Au: 0.0000 0.6604 0.3396  6 Pd 2.83-2.93, 1 Au 2.98, 1 Pr 3.15
Au: 0.6538 0.3462 0.3462  6 Pd 2.84-2.89, 3 Au 2.87-3.07
Au: 0.3462 0.6538 0.6538  6 Pd 2.84-2.89, 3 Au 2.87-3.07

ρ = 13.715 Mg/m³
Formation energy = -27.6 kJ/mol of atoms